Record 1
Density functional theory data (meta-GGA SCAN) for a PBEsol-optimized structure of LiTe2P.

size of the total moment	0.0	μB per formula unit
E_form (uncorrected)	-0.207	eV/atom

Unit cell a=7.177 b=7.177 c=7.177 alpha=32.11 beta=32.11 gamma=32.11
Positions (direct):
Li 0.000 0.000 0.000
Te 0.243 0.243 0.243
Te 0.757 0.757 0.757
P 0.500 0.500 0.500

Record 2
Density functional theory data (meta-GGA SCAN) for a PBEsol-optimized structure of Li2TeP.

size of the total moment	0.0	μB per formula unit
energy above the lowest structure with this stoichiometry	70.2	meV per atom
E_form (uncorrected)	-0.388	eV/atom

Unit cell a=5.872 b=5.872 c=5.872 alpha=146.43 beta=137.65 gamma=55.09
Positions (direct):
Li 0.000 0.000 0.000
Li 0.702 0.202 0.500
Te 0.402 0.402 0.000
P 0.202 0.702 0.500

Record 3
Density functional theory data (meta-GGA SCAN) for a PBEsol-optimized structure of Li2TeP.

size of the total moment	0.0	μB per formula unit
energy above the lowest structure with this stoichiometry	150.0	meV per atom
E_form (uncorrected)	-0.309	eV/atom

Unit cell a=4.650 b=4.650 c=4.650 alpha=60.00 beta=60.00 gamma=60.00
Positions (direct):
Li 0.250 0.250 0.250
Li 0.750 0.750 0.750
Te 0.000 0.000 0.000
P 0.500 0.500 0.500

Record 4
Density functional theory data (meta-GGA SCAN) for a PBEsol-optimized structure of LiTeP2.

size of the total moment	0.9	μB per formula unit
E_form (uncorrected)	0.240	eV/atom

Unit cell a=7.154 b=7.154 c=7.154 alpha=132.97 beta=132.97 gamma=68.70
Positions (direct):
Li 0.000 0.000 0.000
Li 0.750 0.250 0.500
Te 0.250 0.750 0.500
Te 0.500 0.500 0.000
P 0.101 0.625 0.976
P 0.375 0.351 0.476
P 0.649 0.125 0.024
P 0.875 0.899 0.524

Record 5
Density functional theory data (meta-GGA SCAN) for a PBEsol-optimized structure of LiTeP2.

size of the total moment	0.0	μB per formula unit
E_form (uncorrected)	0.482	eV/atom

Unit cell a=9.008 b=9.008 c=9.008 alpha=19.36 beta=19.36 gamma=19.36
Positions (direct):
Li 0.000 0.000 0.000
Te 0.500 0.500 0.500
P 0.260 0.260 0.260
P 0.740 0.740 0.740

Record 6
Density functional theory data (meta-GGA SCAN) for a PBEsol-optimized structure of Li2TeP.

size of the total moment	0.0	μB per formula unit
energy above the lowest structure with this stoichiometry	0.0	meV per atom
E_form (uncorrected)	-0.458	eV/atom

Unit cell a=5.010 b=5.010 c=5.010 alpha=134.44 beta=126.27 gamma=73.04
Positions (direct):
Li 0.232 0.232 0.000
Li 0.768 0.768 0.000
Te 0.500 0.000 0.500
P 0.000 0.500 0.500

Record 7
Density functional theory data (meta-GGA SCAN) for a PBEsol-optimized structure of Li2TePW.

size of the total moment	3.8	μB per formula unit
E_form (uncorrected)	1.326	eV/atom

Unit cell a=4.984 b=4.984 c=4.993 alpha=90.00 beta=90.00 gamma=90.00
Positions (direct):
Li 0.000 0.500 0.000
Li 0.500 0.000 0.000
Te 0.000 0.000 0.500
P 0.500 0.500 0.500
W 0.000 0.000 0.000

Record 8
Density functional theory data (meta-GGA SCAN) for a PBEsol-optimized structure of LiTi3P.

size of the total moment	0.0	μB per formula unit
energy of formation	-76	meV/atom

Unit cell a=4.562 b=4.562 c=4.562 alpha=90.00 beta=90.00 gamma=90.00
Positions (direct):
Li 0.000 0.000 0.000
Ti 0.000 0.500 0.500
Ti 0.500 0.000 0.500
Ti 0.500 0.500 0.000
P 0.500 0.500 0.500

Record 9
Density functional theory data (meta-GGA SCAN) for a PBEsol-optimized structure of Li2TiP2.

size of the total moment	0.0	μB per formula unit
energy of formation	-178	meV/atom

Unit cell a=4.779 b=4.779 c=4.779 alpha=127.17 beta=127.17 gamma=77.98
Positions (direct):
Li 0.138 0.138 0.000
Li 0.862 0.862 0.000
Ti 0.500 0.500 0.000
P 0.250 0.750 0.500
P 0.750 0.250 0.500

Record 10
Density functional theory data (meta-GGA SCAN) for a PBEsol-optimized structure of Li3TiP.

size of the total moment	4.0	μB per formula unit
energy of formation	1089	meV/atom

Unit cell a=4.714 b=4.714 c=4.714 alpha=90.00 beta=90.00 gamma=90.00
Positions (direct):
Li 0.000 0.000 0.500
Li 0.000 0.500 0.000
Li 0.500 0.000 0.000
Ti 0.000 0.000 0.000
P 0.500 0.500 0.500

Record 11
Density functional theory data (meta-GGA SCAN) for a PBEsol-optimized structure of LiTlP2.

size of the total moment	0.0	μB per formula unit
energy above the lowest structure with this stoichiometry	379.7	meV per atom
energy of formation	179	meV/atom

Unit cell a=2.792 b=2.792 c=9.240 alpha=90.00 beta=90.00 gamma=90.00
Positions (direct):
Li 0.000 0.000 0.000
Tl 0.000 0.000 0.500
P 0.500 0.500 0.200
P 0.500 0.500 0.800

Record 12
Density functional theory data (meta-GGA SCAN) for a PBEsol-optimized structure of LiTl2P.

size of the total moment	0.0	μB per formula unit
energy above the lowest structure with this stoichiometry	218.1	meV per atom
energy of formation	10	meV/atom

Unit cell a=5.501 b=5.501 c=5.501 alpha=137.91 beta=125.01 gamma=71.60
Positions (direct):
Li 0.000 0.000 0.000
Tl 0.295 0.795 0.500
Tl 0.580 0.580 0.000
P 0.818 0.318 0.500

Record 13
Density functional theory data (meta-GGA SCAN) for a PBEsol-optimized structure of LiTlP.

size of the total moment	0.0	μB per formula unit
energy of formation	-103	meV/atom

Unit cell a=4.578 b=4.578 c=4.578 alpha=60.00 beta=60.00 gamma=60.00
Positions (direct):
Li 0.000 0.000 0.000
Tl 0.500 0.500 0.500
P 0.250 0.250 0.250

Record 14
Density functional theory data (meta-GGA SCAN) for a PBEsol-optimized structure of LiTl2P.

size of the total moment	0.0	μB per formula unit
energy above the lowest structure with this stoichiometry	0.0	meV per atom
energy of formation	-208	meV/atom

Unit cell a=6.682 b=6.682 c=6.682 alpha=36.54 beta=36.54 gamma=36.54
Positions (direct):
Li 0.000 0.000 0.000
Tl 0.567 0.567 0.567
Tl 0.766 0.766 0.766
P 0.334 0.334 0.334

Record 15
Density functional theory data (meta-GGA SCAN) for a PBEsol-optimized structure of LiTlP2.

size of the total moment	0.0	μB per formula unit
energy above the lowest structure with this stoichiometry	597.5	meV per atom
energy of formation	397	meV/atom

Unit cell a=4.668 b=4.668 c=4.668 alpha=60.00 beta=60.00 gamma=60.00
Positions (direct):
Li 0.000 0.000 0.000
Tl 0.250 0.250 0.250
P 0.500 0.500 0.500
P 0.750 0.750 0.750

Record 16
Density functional theory data (meta-GGA SCAN) for a PBEsol-optimized structure of LiTl2P.

size of the total moment	0.0	μB per formula unit
energy above the lowest structure with this stoichiometry	256.9	meV per atom
energy of formation	49	meV/atom

Unit cell a=5.049 b=5.049 c=5.049 alpha=60.00 beta=60.00 gamma=60.00
Positions (direct):
Li 0.000 0.000 0.000
Tl 0.250 0.250 0.250
Tl 0.500 0.500 0.500
P 0.750 0.750 0.750

Record 17
Density functional theory data (meta-GGA SCAN) for a PBEsol-optimized structure of Li3TlP.

size of the total moment	0.0	μB per formula unit
energy of formation	-380	meV/atom

Unit cell a=4.667 b=4.667 c=4.667 alpha=90.00 beta=90.00 gamma=90.00
Positions (direct):
Li 0.000 0.000 0.500
Li 0.000 0.500 0.000
Li 0.500 0.000 0.000
Tl 0.500 0.500 0.500
P 0.000 0.000 0.000

Record 18
Density functional theory data (meta-GGA SCAN) for a PBEsol-optimized structure of LiTlP2.

size of the total moment	0.0	μB per formula unit
energy above the lowest structure with this stoichiometry	579.8	meV per atom
energy of formation	379	meV/atom

Unit cell a=6.515 b=6.515 c=6.515 alpha=123.42 beta=123.42 gamma=84.18
Positions (direct):
Li 0.000 0.000 0.000
Li 0.750 0.250 0.500
Tl 0.250 0.750 0.500
Tl 0.500 0.500 0.000
P 0.107 0.625 0.982
P 0.375 0.357 0.482
P 0.643 0.125 0.018
P 0.875 0.893 0.518

Record 19
Density functional theory data (meta-GGA SCAN) for a PBEsol-optimized structure of LiTlP2.

size of the total moment	0.0	μB per formula unit
energy above the lowest structure with this stoichiometry	0.0	meV per atom
energy of formation	-201	meV/atom

Unit cell a=4.712 b=4.712 c=5.681 alpha=99.24 beta=99.24 gamma=40.50
Positions (direct):
Li 0.000 0.000 0.000
Tl 0.500 0.500 0.500
P 0.259 0.259 0.869
P 0.741 0.741 0.131

Record 20
Density functional theory data (meta-GGA SCAN) for a PBEsol-optimized structure of LiTlP2.

size of the total moment	0.0	μB per formula unit
energy above the lowest structure with this stoichiometry	405.1	meV per atom
energy of formation	204	meV/atom

Unit cell a=5.740 b=5.740 c=5.740 alpha=142.18 beta=142.18 gamma=54.55
Positions (direct):
Li 0.000 0.000 0.000
Tl 0.500 0.500 0.000
P 0.250 0.750 0.500
P 0.750 0.250 0.500

Record 21
Density functional theory data (meta-GGA SCAN) for a PBEsol-optimized structure of Li6P4W.

size of the total moment	0.0	μB per formula unit
energy of formation	-641	meV/atom

Unit cell a=7.952 b=7.952 c=6.030 alpha=90.00 beta=90.00 gamma=90.00
Positions (direct):
Li 0.025 0.525 0.250
Li 0.025 0.975 0.250
Li 0.250 0.250 0.189
Li 0.250 0.250 0.689
Li 0.475 0.525 0.250
Li 0.475 0.975 0.250
Li 0.525 0.025 0.750
Li 0.525 0.475 0.750
Li 0.750 0.750 0.311
Li 0.750 0.750 0.811
Li 0.975 0.025 0.750
Li 0.975 0.475 0.750
P 0.007 0.750 0.545
P 0.250 0.507 0.955
P 0.250 0.993 0.955
P 0.493 0.750 0.545
P 0.507 0.250 0.455
P 0.750 0.007 0.045
P 0.750 0.493 0.045
P 0.993 0.250 0.455
W 0.250 0.750 0.750
W 0.750 0.250 0.250

Record 22
Density functional theory data (meta-GGA SCAN) for a PBEsol-optimized structure of LiPW4.

size of the total moment	0.0	μB per formula unit
energy of formation	960	meV/atom

Unit cell a=5.220 b=5.220 c=5.220 alpha=60.00 beta=60.00 gamma=60.00
Positions (direct):
Li 0.000 0.000 0.000
P 0.750 0.750 0.750
W 0.373 0.373 0.373
W 0.373 0.373 0.880
W 0.373 0.880 0.373
W 0.880 0.373 0.373

Record 23
Density functional theory data (meta-GGA SCAN) for a PBEsol-optimized structure of LiYP.

size of the total moment	0.8	μB per formula unit
energy of formation	-1131	meV/atom

Unit cell a=6.852 b=6.852 c=3.946 alpha=90.00 beta=90.00 gamma=120.00
Positions (direct):
Li 0.000 0.763 0.000
Li 0.237 0.237 0.000
Li 0.763 0.000 0.000
Y 0.000 0.407 0.500
Y 0.407 0.000 0.500
Y 0.593 0.593 0.500
P 0.000 0.000 0.500
P 0.333 0.667 0.000
P 0.667 0.333 0.000

Record 24
Density functional theory data (meta-GGA SCAN) for a PBEsol-optimized structure of LiY2P.

size of the total moment	3.5	μB per formula unit
energy of formation	37	meV/atom

Unit cell a=4.886 b=4.886 c=4.886 alpha=60.00 beta=60.00 gamma=60.00
Positions (direct):
Li 0.000 0.000 0.000
Y 0.250 0.250 0.250
Y 0.500 0.500 0.500
P 0.750 0.750 0.750

Record 25
Density functional theory data (meta-GGA SCAN) for a PBEsol-optimized structure of LiYP.

size of the total moment	0.0	μB per formula unit
energy of formation	-1142	meV/atom

Unit cell a=8.171 b=8.171 c=7.112 alpha=90.00 beta=90.00 gamma=120.00
Positions (direct):
Li 0.167 0.333 0.000
Li 0.167 0.833 0.000
Li 0.333 0.167 0.500
Li 0.333 0.667 0.517
Li 0.667 0.333 0.017
Li 0.667 0.833 0.000
Li 0.833 0.167 0.500
Li 0.833 0.667 0.500
Y 0.000 0.000 0.252
Y 0.000 0.000 0.752
Y 0.006 0.503 0.255
Y 0.497 0.503 0.255
Y 0.497 0.994 0.255
Y 0.503 0.006 0.755
Y 0.503 0.497 0.755
Y 0.994 0.497 0.755
P 0.167 0.333 0.505
P 0.167 0.833 0.505
P 0.333 0.167 0.005
P 0.333 0.667 0.002
P 0.667 0.333 0.502
P 0.667 0.833 0.505
P 0.833 0.167 0.005
P 0.833 0.667 0.005

Record 26
Density functional theory data (meta-GGA SCAN) for a PBEsol-optimized structure of LiY2P.

size of the total moment	1.5	μB per formula unit
energy of formation	-863	meV/atom

Unit cell a=3.996 b=5.695 c=5.695 alpha=40.65 beta=90.00 gamma=90.00
Positions (direct):
Li 0.000 0.000 0.000
Y 0.000 0.297 0.297
Y 0.500 0.586 0.586
P 0.500 0.867 0.867

Record 27
Density functional theory data (meta-GGA SCAN) for a PBEsol-optimized structure of LiY2P.

size of the total moment	0.0	μB per formula unit
energy of formation	-665	meV/atom

Unit cell a=3.608 b=3.618 c=6.553 alpha=90.00 beta=91.90 gamma=90.00
Positions (direct):
Li 0.000 0.000 0.000
Y 0.476 0.500 0.729
Y 0.524 0.500 0.271
P 0.000 0.000 0.500